(1)
{"formula": "NbW3N", "functional": "GGA-PBE", "state": "optimized geometry", "cell": [[4.179, 0.000, 0.000], [0.000, 4.179, 0.000], [0.000, 0.000, 4.179]], "species": ["W", "W", "Nb", "N", "W"], "fractional_positions": [[0.000, 0.000, 0.500], [0.000, 0.500, 0.000], [0.500, 0.500, 0.500], [0.000, 0.000, 0.000], [0.500, 0.000, 0.000]], "e_tot_ev_per_atom": -11.43, "formation_energy_uncorrected_mev_per_atom": 19.6, "spacegroup": "Pm-3m (221)"}



(2)
{"formula": "Nb2WN", "functional": "GGA-PBE", "state": "optimized geometry", "cell": [[7.497, 0.000, 0.000], [0.000, 7.497, 0.000], [3.749, 3.749, 2.189]], "species": ["W", "Nb", "W", "N", "N", "Nb", "Nb", "Nb"], "fractional_positions": [[0.000, 0.000, 0.000], [0.499, 0.125, 0.250], [0.750, 0.250, 0.500], [0.250, 0.750, 0.500], [0.500, 0.500, 0.000], [0.251, 0.625, 0.250], [0.375, 0.501, 0.750], [0.875, 0.749, 0.750]], "e_tot_ev_per_atom": -10.42, "formation_energy_uncorrected_mev_per_atom": -65.9, "spacegroup": "I-42d (122)"}



(3)
{"formula": "Nb2WN", "functional": "GGA-PBE", "state": "optimized geometry", "cell": [[2.925, 0.000, 0.000], [1.462, 2.533, 0.000], [1.462, 0.844, 8.169]], "species": ["Nb", "Nb", "W", "N"], "fractional_positions": [[0.890, 0.890, 0.329], [0.110, 0.110, 0.671], [0.000, 0.000, 0.000], [0.500, 0.500, 0.500]], "e_tot_ev_per_atom": -10.33, "formation_energy_uncorrected_mev_per_atom": 27.5, "spacegroup": "R-3m (166)"}



(4)
{"formula": "Nb3WN", "functional": "GGA-PBE", "state": "optimized geometry", "cell": [[-1.815, -4.454, -0.635], [3.681, -1.076, -2.971], [2.587, -1.593, 3.782]], "species": ["N", "Nb", "Nb", "W", "Nb"], "fractional_positions": [[0.500, 0.500, 0.500], [0.000, 0.000, 0.500], [0.000, 0.500, 0.000], [0.000, 0.000, 0.000], [0.500, 0.000, 0.000]], "e_tot_ev_per_atom": -7.90, "formation_energy_uncorrected_mev_per_atom": 2397.1, "spacegroup": "Pm-3m (221)"}



(5)
{"formula": "Nb3WN", "functional": "GGA-PBE", "state": "optimized geometry", "cell": [[4.274, 0.000, 0.000], [0.000, 4.274, 0.000], [0.000, 0.000, 4.274]], "species": ["Nb", "Nb", "N", "W", "Nb"], "fractional_positions": [[0.000, 0.500, 0.000], [0.000, 0.000, 0.500], [0.000, 0.000, 0.000], [0.500, 0.500, 0.500], [0.500, 0.000, 0.000]], "e_tot_ev_per_atom": -10.56, "formation_energy_uncorrected_mev_per_atom": -261.4, "spacegroup": "Pm-3m (221)"}



(6)
{"formula": "NbW2N", "functional": "GGA-PBE", "state": "optimized geometry", "cell": [[7.106, 0.000, 0.000], [0.000, 7.106, 0.000], [3.553, 3.553, 2.310]], "species": ["W", "W", "W", "N", "Nb", "Nb", "N", "W"], "fractional_positions": [[0.375, 0.489, 0.750], [0.511, 0.125, 0.250], [0.239, 0.625, 0.250], [0.500, 0.500, 0.000], [0.000, 0.000, 0.000], [0.750, 0.250, 0.500], [0.250, 0.750, 0.500], [0.875, 0.761, 0.750]], "e_tot_ev_per_atom": -11.02, "formation_energy_uncorrected_mev_per_atom": 56.8, "spacegroup": "I-42d (122)"}



(7)
{"formula": "NbW2N", "functional": "GGA-PBE", "state": "optimized geometry", "cell": [[-1.097, -1.397, -2.206], [-0.876, -2.675, 0.312], [-8.301, 1.387, 1.433]], "species": ["N", "Nb", "W", "W"], "fractional_positions": [[0.500, 0.500, 0.500], [0.000, 0.000, 0.000], [0.892, 0.892, 0.325], [0.108, 0.108, 0.675]], "e_tot_ev_per_atom": -10.61, "formation_energy_uncorrected_mev_per_atom": 469.3, "spacegroup": "R-3m (166)"}



(8)
{"formula": "Nb4WN", "functional": "GGA-PBE", "state": "optimized geometry", "cell": [[-2.042, -0.583, 4.302], [-1.595, -6.450, -1.632], [5.533, -1.966, 2.360]], "species": ["Nb", "Nb", "N", "Nb", "Nb", "N", "Nb", "W", "Nb", "W", "Nb", "Nb"], "fractional_positions": [[0.204, 0.250, 0.382], [0.246, 0.868, 0.133], [0.500, 0.000, 0.384], [0.796, 0.750, 0.382], [0.746, 0.132, 0.633], [0.000, 0.000, 0.884], [0.296, 0.250, 0.882], [0.000, 0.500, 0.084], [0.254, 0.868, 0.633], [0.500, 0.500, 0.584], [0.754, 0.132, 0.133], [0.704, 0.750, 0.882]], "e_tot_ev_per_atom": -10.10, "formation_energy_uncorrected_mev_per_atom": 158.2, "spacegroup": "Pnc2 (30)"}



(9)
{"formula": "NbW3N", "functional": "GGA-PBE", "state": "optimized geometry", "cell": [[-0.192, 4.461, 1.669], [-1.734, 1.490, -4.183], [-4.436, -0.776, 1.563]], "species": ["Nb", "N", "W", "W", "W"], "fractional_positions": [[0.000, 0.000, 0.000], [0.500, 0.500, 0.500], [0.000, 0.500, 0.000], [0.500, 0.000, 0.000], [0.000, 0.000, 0.500]], "e_tot_ev_per_atom": -7.97, "formation_energy_uncorrected_mev_per_atom": 3481.8, "spacegroup": "Pm-3m (221)"}



(10)
{"formula": "NbWN2", "functional": "GGA-PBE", "state": "optimized geometry", "cell": [[-0.484, -2.109, -4.078], [4.155, -1.946, 0.513], [-0.268, -5.923, 0.481]], "species": ["N", "Nb", "Nb", "W", "N", "W", "N", "N"], "fractional_positions": [[0.375, 0.350, 0.750], [0.250, 0.750, 0.500], [0.500, 0.500, 0.000], [0.000, 0.000, 0.000], [0.100, 0.625, 0.250], [0.750, 0.250, 0.500], [0.650, 0.125, 0.250], [0.875, 0.900, 0.750]], "e_tot_ev_per_atom": -10.17, "formation_energy_uncorrected_mev_per_atom": -251.3, "spacegroup": "I-42d (122)"}



(11)
{"formula": "Y2NbWN", "functional": "GGA-PBE", "state": "optimized geometry", "cell": [[4.891, 0.000, 0.000], [0.000, 4.028, 0.000], [0.000, 0.000, 4.891]], "species": ["W", "Nb", "Y", "Y", "N"], "fractional_positions": [[0.000, 0.500, 0.000], [0.500, 0.500, 0.500], [0.000, 0.000, 0.500], [0.500, 0.000, 0.000], [0.000, 0.000, 0.000]], "e_tot_ev_per_atom": -9.04, "formation_energy_uncorrected_mev_per_atom": -183.7, "spacegroup": "P4/mmm (123)"}



(12)
{"formula": "Y3NbN4", "functional": "GGA-PBE", "state": "optimized geometry", "cell": [[-1.846, 0.733, 2.712], [-4.692, 0.751, -3.397], [0.266, -5.585, 1.690]], "species": ["Y", "Y", "N", "N", "Y", "Nb", "N", "N"], "fractional_positions": [[0.000, 0.500, 0.000], [0.000, 0.000, 0.500], [0.000, 0.767, 0.767], [0.500, 0.238, 0.762], [0.500, 0.500, 0.500], [0.500, 0.000, 0.000], [0.500, 0.762, 0.238], [0.000, 0.233, 0.233]], "e_tot_ev_per_atom": -9.34, "formation_energy_uncorrected_mev_per_atom": -1492.3, "spacegroup": "Cmmm (65)"}